No. 1
Material: Ho4MgSb2
Method: DFT, PBE-GGA
State: optimized geometry

a = 6.300 Å, b = 6.546 Å, c = 9.798 Å
α = 90.00°, β = 92.57°, γ = 90.00°
Positions (direct):
Ho 0.558 0.492 0.244
Ho 0.958 0.750 0.759
Ho 0.160 0.750 0.433
Ho 0.442 0.992 0.756
Ho 0.558 0.008 0.244
Ho 0.442 0.508 0.756
Ho 0.840 0.250 0.567
Ho 0.042 0.250 0.241
Mg 0.820 0.250 0.927
Mg 0.180 0.750 0.073
Sb 0.294 0.250 0.997
Sb 0.329 0.250 0.489
Sb 0.671 0.750 0.511
Sb 0.706 0.750 0.003

Properties
magnetic moment	0.001	μB per formula unit
uncorrected formation energy	-44.1	kJ/mol of atoms
calculated volume	403.7	Å³ per cell



No. 2
Material: HoMgSb
Method: DFT, PBE-GGA
State: optimized geometry

a = 3.956 Å, b = 4.706 Å, c = 4.706 Å
α = 120.00°, β = 90.00°, γ = 90.00°
Positions (direct):
Sb 0.167 0.333 0.667
Ho 0.667 0.667 0.333
Mg 0.167 0.000 0.000

Properties
magnetic moment	0.000	μB per formula unit
uncorrected formation energy	-46.2	kJ/mol of atoms
calculated volume	75.9	Å³ per cell



No. 3
Material: HoMgSb2
Method: DFT, PBE-GGA
State: optimized geometry

a = 4.382 Å, b = 4.382 Å, c = 10.741 Å
α = 90.00°, β = 90.00°, γ = 90.00°
Positions (direct):
Mg 0.500 0.500 0.000
Mg 0.000 0.000 0.000
Sb 0.500 0.000 0.184
Sb 0.500 0.500 0.500
Sb 0.000 0.500 0.816
Sb 0.000 0.000 0.500
Ho 0.500 0.000 0.716
Ho 0.000 0.500 0.284

Properties
energy above the most stable polymorph in this dataset	0.000	eV per atom
magnetic moment	0.000	μB per formula unit
uncorrected formation energy	-60.3	kJ/mol of atoms
calculated volume	206.3	Å³ per cell



No. 4
Material: HoMgSb2
Method: DFT, PBE-GGA
State: optimized geometry

a = 4.443 Å, b = 4.443 Å, c = 7.163 Å
α = 71.93°, β = 71.93°, γ = 60.00°
Positions (direct):
Sb 0.086 0.086 0.742
Sb 0.249 0.249 0.253
Ho 0.668 0.668 0.996
Mg 0.497 0.497 0.510

Properties
energy above the most stable polymorph in this dataset	0.044	eV per atom
magnetic moment	0.000	μB per formula unit
uncorrected formation energy	-56.0	kJ/mol of atoms
calculated volume	114.4	Å³ per cell



No. 5
Material: Ho2Mg15Sc2
Method: DFT, PBE-GGA
State: optimized geometry

a = 7.809 Å, b = 7.809 Å, c = 7.809 Å
α = 82.33°, β = 82.33°, γ = 82.33°
Positions (direct):
Mg 0.356 0.356 0.848
Mg 0.703 0.297 0.000
Mg 0.000 0.000 0.500
Mg 0.703 0.000 0.297
Mg 0.000 0.297 0.703
Mg 0.152 0.644 0.644
Mg 0.297 0.000 0.703
Mg 0.297 0.703 0.000
Mg 0.000 0.703 0.297
Mg 0.644 0.644 0.152
Mg 0.356 0.848 0.356
Mg 0.644 0.152 0.644
Mg 0.000 0.500 0.000
Mg 0.848 0.356 0.356
Mg 0.500 0.000 0.000
Ho 0.676 0.676 0.676
Ho 0.324 0.324 0.324
Sc 0.099 0.099 0.099
Sc 0.901 0.901 0.901

Properties
energy relative to the elements	0.65	kcal/mol of atoms
magnetic moment	0.734	μB per formula unit
calculated volume	464.4	Å³ per cell



No. 6
Material: Ho2Mg7Sc2
Method: DFT, PBE-GGA
State: optimized geometry

a = 5.180 Å, b = 7.606 Å, c = 8.453 Å
α = 116.74°, β = 107.84°, γ = 90.00°
Positions (direct):
Mg 0.351 0.465 0.701
Mg 0.868 0.190 0.736
Mg 0.121 0.064 0.242
Mg 0.649 0.763 0.299
Mg 0.500 0.905 0.000
Mg 0.132 0.454 0.264
Mg 0.879 0.822 0.758
Sc 0.000 0.617 0.000
Sc 0.500 0.314 0.000
Ho 0.718 0.347 0.436
Ho 0.282 0.912 0.564

Properties
energy relative to the elements	1.66	kcal/mol of atoms
magnetic moment	0.005	μB per formula unit
calculated volume	279.4	Å³ per cell



No. 7
Material: Ho5Mg4Sc
Method: DFT, PBE-GGA
State: optimized geometry

a = 3.686 Å, b = 3.686 Å, c = 19.998 Å
α = 90.00°, β = 90.00°, γ = 90.00°
Positions (direct):
Ho 0.500 0.500 0.306
Ho 0.500 0.500 0.500
Ho 0.500 0.500 0.694
Ho 0.500 0.500 0.896
Ho 0.500 0.500 0.104
Mg 0.000 0.000 0.403
Mg 0.000 0.000 0.597
Mg 0.000 0.000 0.794
Mg 0.000 0.000 0.206
Sc 0.000 0.000 0.000

Properties
energy relative to the elements	-1.01	kcal/mol of atoms
magnetic moment	0.001	μB per formula unit
calculated volume	271.8	Å³ per cell



No. 8
Material: Ho5Mg6Sc
Method: DFT, PBE-GGA
State: optimized geometry

a = 5.307 Å, b = 7.467 Å, c = 8.404 Å
α = 90.00°, β = 71.50°, γ = 90.00°
Positions (direct):
Ho 0.000 0.500 0.000
Ho 0.334 0.000 0.334
Ho 0.668 0.500 0.662
Ho 0.666 0.000 0.666
Ho 0.332 0.500 0.338
Mg 0.162 0.755 0.674
Mg 0.838 0.245 0.326
Mg 0.838 0.755 0.326
Mg 0.500 0.243 0.000
Mg 0.500 0.757 0.000
Mg 0.162 0.245 0.674
Sc 0.000 0.000 0.000

Properties
energy relative to the elements	-1.45	kcal/mol of atoms
magnetic moment	0.000	μB per formula unit
calculated volume	315.8	Å³ per cell



No. 9
Material: HoMgSc4
Method: DFT, PBE-GGA
State: optimized geometry

a = 5.702 Å, b = 5.702 Å, c = 11.126 Å
α = 104.21°, β = 104.21°, γ = 60.75°
Positions (direct):
Sc 0.337 0.831 0.003
Sc 0.663 0.169 0.997
Sc 0.169 0.663 0.497
Sc 0.747 0.582 0.251
Sc 0.582 0.747 0.751
Sc 0.418 0.253 0.249
Sc 0.831 0.337 0.503
Sc 0.253 0.418 0.749
Ho 0.500 0.000 0.500
Ho 0.000 0.500 0.000
Mg 0.926 0.074 0.750
Mg 0.074 0.926 0.250

Properties
energy relative to the elements	1.35	kcal/mol of atoms
energy above the most stable polymorph in this dataset	0.046	eV per atom
magnetic moment	0.447	μB per formula unit
calculated volume	302.6	Å³ per cell



No. 10
Material: Ho2Mg9Sc
Method: DFT, PBE-GGA
State: optimized geometry

a = 4.624 Å, b = 4.624 Å, c = 13.717 Å
α = 90.00°, β = 90.00°, γ = 90.00°
Positions (direct):
Mg 0.500 0.500 0.000
Mg 0.000 0.500 0.160
Mg 0.500 0.000 0.500
Mg 0.000 0.500 0.840
Mg 0.500 0.500 0.670
Mg 0.000 0.500 0.500
Mg 0.500 0.000 0.840
Mg 0.500 0.500 0.330
Mg 0.500 0.000 0.160
Ho 0.000 0.000 0.329
Ho 0.000 0.000 0.671
Sc 0.000 0.000 0.000

Properties
energy relative to the elements	-1.15	kcal/mol of atoms
magnetic moment	0.000	μB per formula unit
calculated volume	293.3	Å³ per cell



No. 11
Material: Ho4MgSc2
Method: DFT, PBE-GGA
State: optimized geometry

a = 5.415 Å, b = 6.626 Å, c = 11.413 Å
α = 90.00°, β = 103.80°, γ = 90.00°
Positions (direct):
Ho 0.064 0.250 0.139
Ho 0.936 0.750 0.861
Ho 0.788 0.250 0.570
Ho 0.643 0.007 0.291
Ho 0.212 0.750 0.430
Ho 0.643 0.493 0.291
Ho 0.357 0.507 0.709
Ho 0.357 0.993 0.709
Sc 0.784 0.750 0.573
Sc 0.216 0.250 0.427
Sc 0.513 0.750 0.014
Sc 0.487 0.250 0.986
Mg 0.080 0.750 0.153
Mg 0.920 0.250 0.847

Properties
energy relative to the elements	2.68	kcal/mol of atoms
magnetic moment	0.025	μB per formula unit
calculated volume	397.6	Å³ per cell



No. 12
Material: HoMgSc
Method: DFT, PBE-GGA
State: optimized geometry

a = 3.460 Å, b = 3.460 Å, c = 7.004 Å
α = 104.30°, β = 104.30°, γ = 90.00°
Positions (direct):
Sc 0.327 0.327 0.654
Ho 0.999 0.999 0.998
Mg 0.674 0.674 0.347

Properties
energy relative to the elements	-0.43	kcal/mol of atoms
energy above the most stable polymorph in this dataset	0.000	eV per atom
magnetic moment	0.668	μB per formula unit
calculated volume	78.6	Å³ per cell



No. 13
Material: Ho2MgSc2
Method: DFT, PBE-GGA
State: optimized geometry

a = 5.605 Å, b = 5.335 Å, c = 10.833 Å
α = 60.49°, β = 104.99°, γ = 90.00°
Positions (direct):
Sc 0.976 0.168 0.582
Sc 0.606 0.668 0.582
Sc 0.394 0.332 0.418
Sc 0.024 0.832 0.418
Ho 0.606 0.954 0.796
Ho 0.190 0.454 0.796
Ho 0.810 0.546 0.204
Ho 0.394 0.046 0.204
Mg 0.205 0.750 0.000
Mg 0.795 0.250 0.000

Properties
energy relative to the elements	0.12	kcal/mol of atoms
energy above the most stable polymorph in this dataset	0.000	eV per atom
magnetic moment	0.000	μB per formula unit
calculated volume	269.2	Å³ per cell



No. 14
Material: HoMgSc
Method: DFT, PBE-GGA
State: optimized geometry

a = 5.266 Å, b = 3.575 Å, c = 9.992 Å
α = 57.54°, β = 89.97°, γ = 90.00°
Positions (direct):
Sc 0.978 0.970 0.445
Sc 0.477 0.314 0.883
Ho 0.478 0.328 0.540
Ho 0.977 0.956 0.788
Mg 0.476 0.331 0.206
Mg 0.976 0.954 0.123

Properties
energy relative to the elements	0.23	kcal/mol of atoms
energy above the most stable polymorph in this dataset	0.028	eV per atom
magnetic moment	0.000	μB per formula unit
calculated volume	158.7	Å³ per cell



No. 15
Material: Ho2Mg2Sc
Method: DFT, PBE-GGA
State: optimized geometry

a = 3.639 Å, b = 6.621 Å, c = 6.621 Å
α = 68.57°, β = 74.05°, γ = 74.05°
Positions (direct):
Ho 0.238 0.262 0.262
Ho 0.762 0.738 0.738
Sc 0.000 0.000 0.000
Mg 0.500 0.691 0.309
Mg 0.500 0.309 0.691

Properties
energy relative to the elements	3.64	kcal/mol of atoms
energy above the most stable polymorph in this dataset	0.192	eV per atom
magnetic moment	0.000	μB per formula unit
calculated volume	140.0	Å³ per cell



No. 16
Material: Ho2Mg4Sc
Method: DFT, PBE-GGA
State: optimized geometry

a = 5.212 Å, b = 5.212 Å, c = 8.225 Å
α = 71.53°, β = 71.53°, γ = 60.00°
Positions (direct):
Mg 0.570 0.570 0.291
Mg 0.430 0.430 0.709
Mg 0.138 0.138 0.587
Mg 0.862 0.862 0.413
Ho 0.288 0.288 0.135
Ho 0.712 0.712 0.865
Sc 0.000 0.000 0.000

Properties
energy relative to the elements	0.65	kcal/mol of atoms
energy above the most stable polymorph in this dataset	0.000	eV per atom
magnetic moment	0.000	μB per formula unit
calculated volume	180.1	Å³ per cell



No. 17
Material: Ho5MgSc
Method: DFT, PBE-GGA
State: optimized geometry

a = 6.579 Å, b = 6.579 Å, c = 13.172 Å
α = 62.65°, β = 62.65°, γ = 59.74°
Positions (direct):
Ho 0.850 0.621 0.736
Ho 0.692 0.645 0.500
Ho 0.621 0.850 0.236
Ho 0.308 0.355 0.500
Ho 0.355 0.308 0.000
Ho 0.150 0.379 0.264
Ho 0.852 0.148 0.750
Ho 0.379 0.150 0.764
Ho 0.645 0.692 0.000
Ho 0.148 0.852 0.250
Mg 0.308 0.692 0.750
Mg 0.692 0.308 0.250
Sc 0.000 0.000 0.000
Sc 0.000 0.000 0.500

Properties
energy relative to the elements	4.39	kcal/mol of atoms
magnetic moment	0.000	μB per formula unit
calculated volume	417.7	Å³ per cell



No. 18
Material: HoMg4Sc
Method: DFT, PBE-GGA
State: optimized geometry

a = 5.927 Å, b = 5.927 Å, c = 5.927 Å
α = 60.00°, β = 60.00°, γ = 60.00°
Positions (direct):
Ho 0.250 0.250 0.250
Mg 0.625 0.625 0.625
Mg 0.625 0.625 0.124
Mg 0.625 0.124 0.625
Mg 0.124 0.625 0.625
Sc 0.000 0.000 0.000

Properties
energy relative to the elements	-0.45	kcal/mol of atoms
energy above the most stable polymorph in this dataset	0.018	eV per atom
magnetic moment	0.006	μB per formula unit
calculated volume	147.2	Å³ per cell



No. 19
Material: Ho3MgSc7
Method: DFT, PBE-GGA
State: optimized geometry

a = 8.116 Å, b = 6.572 Å, c = 6.572 Å
α = 120.00°, β = 90.00°, γ = 90.00°
Positions (direct):
Ho 0.788 0.502 0.498
Ho 0.788 0.997 0.498
Ho 0.788 0.502 0.003
Mg 0.439 0.333 0.667
Sc 0.125 0.166 0.332
Sc 0.438 0.340 0.170
Sc 0.438 0.830 0.660
Sc 0.125 0.668 0.834
Sc 0.438 0.830 0.170
Sc 0.122 0.667 0.333
Sc 0.125 0.166 0.834

Properties
energy relative to the elements	5.08	kcal/mol of atoms
magnetic moment	0.006	μB per formula unit
calculated volume	303.6	Å³ per cell



No. 20
Material: Ho3MgSc
Method: DFT, PBE-GGA
State: optimized geometry

a = 3.406 Å, b = 8.211 Å, c = 11.010 Å
α = 108.27°, β = 98.90°, γ = 90.00°
Positions (direct):
Ho 0.017 0.219 0.034
Ho 0.821 0.559 0.643
Ho 0.376 0.957 0.752
Ho 0.983 0.781 0.966
Ho 0.624 0.043 0.248
Ho 0.179 0.441 0.357
Mg 0.422 0.400 0.845
Mg 0.578 0.600 0.155
Sc 0.267 0.178 0.534
Sc 0.733 0.822 0.466

Properties
energy relative to the elements	1.57	kcal/mol of atoms
energy above the most stable polymorph in this dataset	0.056	eV per atom
magnetic moment	0.000	μB per formula unit
calculated volume	288.5	Å³ per cell